## Nd3DyZn2 (PBE)

Data for Nd3DyZn2 after structural relaxation.

Lattice parameters (Å, degrees): 8.920 8.920 8.920 133.53 69.33 131.62
Fractional positions:
Nd (0.024, 0.750, 0.274)
Nd (0.250, 0.250, 0.000)
Nd (0.476, 0.750, 0.726)
Nd (0.524, 0.250, 0.274)
Nd (0.750, 0.750, 0.000)
Nd (0.976, 0.250, 0.726)
Dy (0.000, 0.500, 0.500)
Dy (0.500, 0.000, 0.500)
Zn (0.137, 0.206, 0.343)
Zn (0.363, 0.706, 0.070)
Zn (0.637, 0.294, 0.930)
Zn (0.863, 0.794, 0.657)

Results
- Total magnetization: 0.000 μB per atom
- Calculated formation energy: 0.33 eV/f.u.
- N(E_F): 21.4 states/eV/cell
- ρ: 6.4 Mg/m³

---

## YFe10B2 (PBE)

Data for YFe10B2 after structural relaxation.

Lattice parameters (Å, degrees): 6.153 6.153 7.884 90.00 90.00 96.87
Fractional positions:
Y (0.115, 0.885, 0.750)
Y (0.885, 0.115, 0.250)
Fe (0.112, 0.403, 0.750)
Fe (0.169, 0.831, 0.095)
Fe (0.169, 0.831, 0.405)
Fe (0.233, 0.233, 0.000)
Fe (0.233, 0.233, 0.500)
Fe (0.243, 0.472, 0.250)
Fe (0.388, 0.612, 0.575)
Fe (0.388, 0.612, 0.925)
Fe (0.403, 0.112, 0.250)
Fe (0.472, 0.243, 0.750)
Fe (0.528, 0.757, 0.250)
Fe (0.597, 0.888, 0.750)
Fe (0.612, 0.388, 0.075)
Fe (0.612, 0.388, 0.425)
Fe (0.757, 0.528, 0.750)
Fe (0.767, 0.767, 0.000)
Fe (0.767, 0.767, 0.500)
Fe (0.831, 0.169, 0.595)
Fe (0.831, 0.169, 0.905)
Fe (0.888, 0.597, 0.250)
B (0.000, 0.500, 0.000)
B (0.000, 0.500, 0.500)
B (0.500, 0.000, 0.000)
B (0.500, 0.000, 0.500)

Results
- Total magnetization: 1.519 μB per atom
- Calculated formation energy: -0.59 eV/f.u.
- N(E_F): 24.6 states/eV/cell
- ρ: 7.5 Mg/m³

---

## MgTcBr (PBE)

Data for MgTcBr after structural relaxation.

Lattice parameters (Å, degrees): 4.547 4.547 3.027 90.00 90.00 120.00
Fractional positions:
Mg (0.000, 0.000, 0.000)
Tc (0.667, 0.333, 0.500)
Br (0.333, 0.667, 0.500)

Results
- Formation energy without anion corrections: 1.67 eV/f.u.
- Total magnetization: 0.002 μB per atom
- N(E_F): 4.1 states/eV/cell
- ρ: 6.2 Mg/m³

---

## CuSe2Cl (PBE)

Data for CuSe2Cl after structural relaxation.

Lattice parameters (Å, degrees): 3.570 3.570 7.950 90.00 90.00 90.00
Fractional positions:
Cu (0.000, 0.000, 0.000)
Se (0.000, 0.000, 0.695)
Se (0.500, 0.500, 0.602)
Cl (0.500, 0.500, 0.071)

Results
- Formation energy without anion corrections: -0.28 eV/f.u.
- Total magnetization: 0.000 μB per atom
- N(E_F): 2.0 states/eV/cell
- ρ: 4.2 Mg/m³

---

## Tc2NiTe (PBE)

Data for Tc2NiTe after structural relaxation.

Lattice parameters (Å, degrees): 3.168 3.168 6.129 90.00 90.00 90.00
Fractional positions:
Tc (0.000, 0.000, 0.218)
Tc (0.000, 0.000, 0.782)
Ni (0.500, 0.500, 0.000)
Te (0.500, 0.500, 0.500)

Results
- Formation energy without anion corrections: 1.46 eV/f.u.
- Total magnetization: 0.000 μB per atom
- N(E_F): 4.1 states/eV/cell
- ρ: 10.3 Mg/m³

---

## LaFeSi2Bi (PBE)

Data for LaFeSi2Bi after structural relaxation.

Lattice parameters (Å, degrees): 5.287 5.287 6.073 90.00 90.00 90.00
Fractional positions:
La (0.000, 0.000, 0.000)
Fe (0.500, 0.500, 0.000)
Si (0.000, 0.500, 0.500)
Si (0.500, 0.000, 0.500)
Bi (0.000, 0.000, 0.500)

Results
- Formation energy without anion corrections: 8.50 eV/f.u.
- Total magnetization: 0.036 μB per atom
- N(E_F): 7.8 states/eV/cell
- ρ: 4.5 Mg/m³

---

## Ti2SbSe (PBE)

Data for Ti2SbSe after structural relaxation.

Lattice parameters (Å, degrees): 4.706 4.706 4.706 60.00 60.00 60.00
Fractional positions:
Ti (0.250, 0.250, 0.250)
Ti (0.750, 0.750, 0.750)
Sb (0.000, 0.000, 0.000)
Se (0.500, 0.500, 0.500)

Results
- Formation energy without anion corrections: -1.90 eV/f.u.
- Total magnetization: 0.000 μB per atom
- N(E_F): 3.5 states/eV/cell
- ρ: 6.7 Mg/m³

---

## Ce2Sm3Ho6Er (PBE)

Data for Ce2Sm3Ho6Er after structural relaxation.

Lattice parameters (Å, degrees): 6.146 6.146 11.714 95.01 95.01 119.98
Fractional positions:
Ce (0.166, 0.834, 0.000)
Ce (0.834, 0.166, 0.000)
Sm (0.000, 0.000, 0.500)
Sm (0.334, 0.666, 0.500)
Sm (0.666, 0.334, 0.500)
Ho (0.082, 0.417, 0.753)
Ho (0.247, 0.247, 0.247)
Ho (0.417, 0.082, 0.753)
Ho (0.583, 0.918, 0.247)
Ho (0.753, 0.753, 0.753)
Ho (0.918, 0.583, 0.247)
Er (0.500, 0.500, 0.000)

Results
- Total magnetization: 0.154 μB per atom
- Calculated formation energy: 0.53 eV/f.u.
- N(E_F): 20.2 states/eV/cell
- ρ: 8.3 Mg/m³

---

## LiCa2Br (PBE)

Data for LiCa2Br after structural relaxation.

Lattice parameters (Å, degrees): 3.701 3.701 9.848 90.00 90.00 90.00
Fractional positions:
Li (0.000, 0.000, 0.000)
Ca (0.000, 0.000, 0.445)
Ca (0.500, 0.500, 0.749)
Br (0.500, 0.500, 0.274)

Results
- Formation energy without anion corrections: -2.33 eV/f.u.
- Total magnetization: 0.000 μB per atom
- N(E_F): 2.7 states/eV/cell
- ρ: 2.1 Mg/m³

---

## ZrScCl (PBE)

Data for ZrScCl after structural relaxation.

Lattice parameters (Å, degrees): 3.383 3.383 6.480 90.00 90.00 120.00
Fractional positions:
Zr (0.000, 0.000, 0.000)
Sc (0.667, 0.333, 0.643)
Cl (0.333, 0.667, 0.319)

Results
- Formation energy without anion corrections: -2.15 eV/f.u.
- Total magnetization: 0.000 μB per atom
- N(E_F): 1.4 states/eV/cell
- ρ: 4.4 Mg/m³

---

## NaLiGa3 (PBE)

Data for NaLiGa3 after structural relaxation.

Lattice parameters (Å, degrees): 6.158 4.431 7.659 90.00 113.46 90.00
Fractional positions:
Na (0.086, 0.250, 0.166)
Na (0.914, 0.750, 0.834)
Li (0.350, 0.750, 0.704)
Li (0.650, 0.250, 0.296)
Ga (0.036, 0.250, 0.609)
Ga (0.431, 0.750, 0.393)
Ga (0.448, 0.250, 0.904)
Ga (0.552, 0.750, 0.096)
Ga (0.569, 0.250, 0.607)
Ga (0.964, 0.750, 0.391)

Results
- Total magnetization: 0.000 μB per atom
- Calculated formation energy: -1.02 eV/f.u.
- N(E_F): 3.2 states/eV/cell
- ρ: 4.1 Mg/m³

---

## YTm2InN (PBE)

Data for YTm2InN after structural relaxation.

Lattice parameters (Å, degrees): 4.739 4.739 4.824 90.00 90.00 90.00
Fractional positions:
Y (0.000, 0.000, 0.000)
Tm (0.000, 0.500, 0.500)
Tm (0.500, 0.000, 0.500)
In (0.500, 0.500, 0.000)
N (0.000, 0.000, 0.500)

Results
- Formation energy without anion corrections: -5.09 eV/f.u.
- Total magnetization: 0.000 μB per atom
- N(E_F): 2.4 states/eV/cell
- ρ: 8.5 Mg/m³

---

| no. | calculated volume (Å³ per cell) |
| --- | --- |
| 1 | 377 |
| 2 | 296 |
| 3 | 54 |
| 4 | 101 |
| 5 | 62 |
| 6 | 170 |
| 7 | 74 |
| 8 | 377 |
| 9 | 135 |
| 10 | 64 |
| 11 | 192 |
| 12 | 108 |